No. 1
## Cs2NpO3F3 (PBE)

Data for a relaxed structure of Cs2NpO3F3.

Values from the calculation:
Symmetry: P-62m (189)
Formation energy (no corrections), eV/atom: -2.397
Total moment, μB per atom: 0.01
Total energy, eV/f.u.: -56.7

abc: 3.360 7.372 7.372
angles: 120.00 90.00 90.00
Last column: magnetic moment on the atom in μB.
Fractional positions:
Cs1 0.500 0.667 0.333  0.00
Cs2 0.500 0.333 0.667  0.00
F1 0.000 0.679 0.679  0.00
F2 0.000 0.321 0.000  0.00
F3 0.000 0.000 0.321  0.00
O1 0.500 0.000 0.813  -0.06
O2 0.500 0.813 0.000  -0.06
O3 0.500 0.187 0.187  -0.06
Np1 0.000 0.000 0.000  0.15

---

No. 2
## CuAgRh2 (PBE)

Data for a relaxed structure of CuAgRh2.

Values from the calculation:
Symmetry: R3m (160)
Total moment, μB per atom: 0.08
Energy above the most stable polymorph in this dataset, meV/atom: 35
Total energy, eV/f.u.: -21.1
ΔE_f, eV/atom: 0.1467

abc: 9.069 9.069 9.069
angles: 17.49 17.49 17.49
Last column: magnetic moment on the atom in μB.
Fractional positions:
Ag1 0.497 0.497 0.497  0.00
Rh1 0.255 0.255 0.255  0.17
Rh2 0.001 0.001 0.001  0.15
Cu1 0.747 0.747 0.747  0.01

---

No. 3
## Be2PtPb (PBE)

Data for a relaxed structure of Be2PtPb.

Values from the calculation:
Symmetry: Immm (71)
Total moment, μB per atom: 0.00
Total energy, eV/f.u.: -16.4
ΔE_f, eV/atom: 0.1958

abc: 4.469 4.469 4.469
angles: 125.19 106.45 98.08
Fractional positions:
Be1 0.940 0.940 0.000
Be2 0.560 0.560 0.000
Pb1 0.250 0.750 0.500
Pt1 0.750 0.250 0.500

---

No. 4
## Ga5Cu4 (PBE)

Data for a relaxed structure of Ga5Cu4.

Values from the calculation:
Symmetry: I4/m (87)
Total moment, μB per atom: 0.00
Total energy, eV/f.u.: -31.5
ΔE_f, eV/atom: 0.0054

abc: 2.723 7.497 7.497
angles: 88.11 79.54 79.54
Fractional positions:
Ga1 0.000 0.000 0.000
Ga2 0.547 0.221 0.684
Ga3 0.769 0.684 0.779
Ga4 0.453 0.779 0.316
Ga5 0.231 0.316 0.221
Cu1 0.852 0.373 0.923
Cu2 0.225 0.923 0.627
Cu3 0.148 0.627 0.077
Cu4 0.775 0.077 0.373

---

No. 5
## YHo3Tm4 (PBE)

Data for a relaxed structure of YHo3Tm4.

Values from the calculation:
Symmetry: Pmmm (47)
Total moment, μB per atom: 0.00
Energy above the most stable polymorph in this dataset, meV/atom: 27
Total energy, eV/f.u.: -37.9
ΔE_f, eV/atom: 0.0267

abc: 3.518 10.525 7.850
angles: 81.37 63.37 70.46
Fractional positions:
Tm1 0.000 0.249 0.251
Tm2 0.498 0.751 0.251
Tm3 0.502 0.249 0.749
Tm4 0.000 0.751 0.749
Ho1 0.500 0.000 0.500
Ho2 0.000 0.500 0.500
Ho3 0.000 0.000 0.000
Y1 0.500 0.500 0.000

---

No. 6
## BaNaGaIr (PBE)

Data for a relaxed structure of BaNaGaIr.

Values from the calculation:
Symmetry: P4/nmm (129)
Total moment, μB per atom: 0.00
Total energy, eV/f.u.: -16.3
ΔE_f, eV/atom: -0.2925

abc: 4.476 4.476 12.356
angles: 90.00 90.00 90.00
Fractional positions:
Ir1 0.750 0.250 0.000
Ir2 0.250 0.750 0.000
Na1 0.750 0.250 0.500
Na2 0.250 0.750 0.500
Ba1 0.750 0.750 0.208
Ba2 0.250 0.250 0.792
Ga1 0.750 0.750 0.906
Ga2 0.250 0.250 0.094